# 1
# NaMgCl2

A PBEsol-optimized structure of NaMgCl2 (meta-GGA SCAN, Alexandria via LeMat-Bulk).

abc: 3.8875 3.8875 23.8109
angles: 90.00 90.00 120.00
Closest atoms and distances in Å follow each position.
Space group R-3m (No. 166, hexagonal axes)
One atom of each set of equivalent atoms:
Na 0.0000 0.0000 0.0000 x3  6 Cl 2.74
Mg 0.0000 0.0000 0.5000 x3  2 Cl 2.39
Cl 0.0000 0.0000 0.3997 x6  1 Mg 2.39

## Properties
Total DFT energy (no corrections): -7.73 eV per atom
Formation energy (no corrections): -1.445 eV/atom
M_tot: 0.00 μB per formula unit
Fermi-level density of states: 2.66 states/eV per cell


# 2
# NaMgSCl2

A PBEsol-optimized structure of NaMgSCl2 (meta-GGA SCAN, Alexandria via LeMat-Bulk).

abc: 4.9366 4.9366 4.8871
angles: 90.00 90.00 90.00
Closest atoms and distances in Å follow each position.
Space group P4/mmm (No. 123)
One atom of each set of equivalent atoms:
Na 0.0000 0.0000 0.0000 x1  8 Cl 3.47, 4 S 3.49
Mg 0.5000 0.5000 0.5000 x1  2 S 2.44, 4 Cl 2.47
S 0.5000 0.5000 0.0000 x1  2 Mg 2.44
Cl 0.0000 0.5000 0.5000 x2  2 Mg 2.47

## Properties
Total DFT energy (no corrections): -8.28 eV per atom
Formation energy (no corrections): -1.326 eV/atom
M_tot: 1.00 μB per formula unit
Fermi-level density of states: 3.11 states/eV per cell


# 3
# Mg3NbCl

A PBEsol-optimized structure of Mg3NbCl (meta-GGA SCAN, Alexandria via LeMat-Bulk).

abc: 5.5232 5.5232 5.5232
angles: 90.00 90.00 90.00
Closest atoms and distances in Å follow each position.
Space group Pm-3m (No. 221)
One atom of each set of equivalent atoms:
Mg 0.0000 0.0000 0.5000 x3  2 Nb 2.76
Nb 0.0000 0.0000 0.0000 x1  6 Mg 2.76
Cl 0.5000 0.5000 0.5000 x1  12 Mg 3.91

## Properties
Total DFT energy (no corrections): -10.35 eV per atom
Formation energy (no corrections): 0.860 eV/atom
M_tot: 3.96 μB per formula unit
Fermi-level density of states: 1.59 states/eV per cell


# 4
# MgNiCl2

A PBEsol-optimized structure of MgNiCl2 (meta-GGA SCAN, Alexandria via LeMat-Bulk).

abc: 3.4547 3.6018 6.0943
angles: 90.00 100.91 90.00
Closest atoms and distances in Å follow each position.
Space group Pm (No. 6)
One atom of each set of equivalent atoms:
Mg 0.0000 0.0000 0.0000 x1  4 Cl 2.59-2.85, 4 Ni 2.62-2.63
Ni 0.5438 0.5000 0.1354 x1  3 Cl 2.14-2.23
Cl 0.3154 0.5000 0.7830 x1  1 Ni 2.14
Cl 0.6704 0.0000 0.3538 x1  2 Ni 2.23

## Properties
Total DFT energy (no corrections): -10.07 eV per atom
Formation energy (no corrections): -0.790 eV/atom
M_tot: 0.00 μB per formula unit


# 5
# Mg2NiCl

A PBEsol-optimized structure of Mg2NiCl (meta-GGA SCAN, Alexandria via LeMat-Bulk).

abc: 4.7187 4.7187 2.9718
angles: 90.00 90.00 90.00
Closest atoms and distances in Å follow each position.
Space group P4/mmm (No. 123)
One atom of each set of equivalent atoms:
Mg 0.0000 0.5000 0.0000 x2  4 Cl 2.79, 4 Ni 2.79, 2 Mg 2.97
Ni 0.0000 0.0000 0.5000 x1  8 Mg 2.79, 2 Ni 2.97
Cl 0.5000 0.5000 0.5000 x1  8 Mg 2.79, 2 Cl 2.97

## Properties
Total DFT energy (no corrections): -8.81 eV per atom
Formation energy (no corrections): -0.287 eV/atom
M_tot: 0.00 μB per formula unit
Fermi-level density of states: 1.44 states/eV per cell


# 6
# Mg2NiCl

A PBEsol-optimized structure of Mg2NiCl (meta-GGA SCAN, Alexandria via LeMat-Bulk).

abc: 5.6024 3.1841 7.8649
angles: 90.00 104.11 90.00
Closest atoms and distances in Å follow each position.
Space group C2/m (No. 12)
One atom of each set of equivalent atoms:
Mg 0.2500 0.0000 0.2331 x4  3 Ni 2.56-2.57, 3 Cl 2.73-2.79
Ni 0.0000 0.5000 0.0000 x2  6 Mg 2.56-2.57
Cl 0.0000 0.0000 0.5000 x2  6 Mg 2.73-2.79

## Properties
Total DFT energy (no corrections): -8.99 eV per atom
Formation energy (no corrections): -0.469 eV/atom
M_tot: 0.00 μB per formula unit
Fermi-level density of states: 3.88 states/eV per cell


# 7
# MgNiCl2

A PBEsol-optimized structure of MgNiCl2 (meta-GGA SCAN, Alexandria via LeMat-Bulk).

abc: 6.2486 6.2486 6.2486
angles: 90.00 90.00 90.00
Closest atoms and distances in Å follow each position.
Space group Fm-3m (No. 225)
One atom of each set of equivalent atoms:
Mg 0.0000 0.0000 0.0000 x4  8 Cl 2.71
Ni 0.0000 0.0000 0.5000 x4  8 Cl 2.71
Cl 0.2500 0.2500 0.2500 x8  4 Ni 2.71, 4 Mg 2.71

## Properties
Total DFT energy (no corrections): -9.61 eV per atom
Formation energy (no corrections): -0.334 eV/atom
M_tot: 0.08 μB per formula unit
Fermi-level density of states: 12.51 states/eV per cell


# 8
# Mg2PClO4

A PBEsol-optimized structure of Mg2PClO4 (meta-GGA SCAN, Alexandria via LeMat-Bulk).

abc: 10.9567 7.9102 4.8232
angles: 90.00 90.00 90.00
Closest atoms and distances in Å follow each position.
Space group Pna2_1 (No. 33)
One atom of each set of equivalent atoms:
Mg 0.1208 0.0974 0.0000 x4  4 O 2.01-2.10
Mg 0.1263 0.6633 0.0069 x4  3 O 2.00-2.08
P 0.1668 0.8792 0.4512 x4  4 O 1.54-1.57
Cl 0.0623 0.3791 0.2480 x4  3 Mg 2.44-2.63
O 0.0421 0.8766 0.2912 x4  1 P 1.57
O 0.1510 0.8798 0.7682 x4  1 P 1.54
O 0.2299 0.0414 0.3459 x4  1 P 1.54
O 0.2337 0.7200 0.3460 x4  1 P 1.54

## Properties
Total DFT energy (no corrections): -9.42 eV per atom
Formation energy (no corrections): -2.760 eV/atom
M_tot: 0.00 μB per formula unit
Fermi-level density of states: 0.00 states/eV per cell